one:
{"formula": "BC3", "functional": "PBE", "state": "relaxed", "vol_a3_per_atom": 6.20, "sg": "No. 8", "cell": [[-2.1880, -6.6061, -0.1849], [0.9399, -5.5754, -4.2205], [1.5262, 5.2260, 4.4877]], "species": ["B", "B", "B", "C", "C", "C", "C", "C", "C", "C", "C", "C"], "frac_coords": [[0.9867, 0.3434, 0.6432], [0.4930, 0.1697, 0.3233], [0.1350, 0.7810, 0.3540], [0.6081, 0.2946, 0.3135], [0.1170, 0.1204, 0.9965], [0.0023, 0.0022, 0.0001], [0.6253, 0.9584, 0.6669], [0.5149, 0.8387, 0.6762], [0.9959, 0.6587, 0.3372], [0.6409, 0.6180, 0.0229], [0.5030, 0.5003, 0.0026], [0.1280, 0.4645, 0.6635]]}

***

two:
{"formula": "BC3", "functional": "PBE", "state": "relaxed", "vol_a3_per_atom": 6.20, "sg": "No. 12", "cell": [[-4.0922, 1.7647, 0.7937], [-4.4952, -0.4240, -0.3215], [0.5519, -2.1661, 4.0515]], "species": ["B", "B", "C", "C", "C", "C", "C", "C"], "frac_coords": [[0.5701, 0.5701, 0.2022], [0.2424, 0.2424, 0.7353], [0.7595, 0.7595, 0.2529], [0.4967, 0.4967, 0.5076], [0.3158, 0.3158, 0.4299], [0.0530, 0.0530, 0.6846], [0.9926, 0.9926, 0.9810], [0.8199, 0.8199, 0.9565]]}

***

So which one is most stable? That would be two, about 0.021 eV/atom below the next structure.

***

one:
{"formula": "B5C7", "functional": "PBE", "state": "relaxed", "vol_a3_per_atom": 6.47, "sg": "No. 156", "cell": [[2.5556, 0.0000, 0.0000], [-1.2778, 2.2132, 0.0000], [0.0000, 0.0000, 13.7319]], "species": ["B", "B", "B", "B", "B", "C", "C", "C", "C", "C", "C", "C"], "frac_coords": [[0.6667, 0.3333, 0.8192], [0.0000, 0.0000, 0.8953], [0.3333, 0.6667, 0.6595], [0.6667, 0.3333, 0.3145], [0.0000, 0.0000, 0.3891], [0.6667, 0.3333, 0.7080], [0.0000, 0.0000, 0.5047], [0.3333, 0.6667, 0.5404], [0.3333, 0.6667, 0.1616], [0.6667, 0.3333, 0.1987], [0.0000, 0.0000, 0.0108], [0.3333, 0.6667, 0.0481]]}

***

two:
{"formula": "B5C7", "functional": "PBE", "state": "relaxed", "vol_a3_per_atom": 6.54, "sg": "No. 8", "cell": [[-2.8989, -1.3540, -6.2026], [2.4680, -2.0033, -6.6156], [-1.5704, -0.2150, 7.1665]], "species": ["B", "B", "B", "B", "B", "C", "C", "C", "C", "C", "C", "C"], "frac_coords": [[0.9927, 0.3335, 0.6591], [0.4832, 0.1728, 0.3104], [0.9947, 0.0043, 0.9904], [0.4944, 0.8352, 0.6592], [0.6416, 0.6177, 0.0239], [0.6308, 0.2921, 0.3387], [0.1128, 0.1290, 0.9839], [0.6175, 0.9624, 0.6551], [0.1263, 0.7840, 0.3422], [0.0164, 0.6689, 0.3475], [0.4940, 0.4929, 0.0011], [0.1455, 0.4571, 0.6884]]}

***

So which one is most stable? That would be one, about 0.034 eV/atom below the next structure.

***

one:
{"formula": "NiN2Cl", "functional": "PBE", "state": "relaxed", "vol_a3_per_atom": 11.02, "sg": "No. 166", "cell": [[3.0613, -1.3499, 4.7796], [2.0440, -3.9957, 3.7277], [4.5045, -2.7297, 2.5093]], "species": ["Ni", "N", "N", "Cl"], "frac_coords": [[0.5000, 0.5000, 0.5000], [0.8863, 0.8863, 0.8863], [0.1137, 0.1137, 0.1137], [0.0000, 0.0000, 0.0000]]}

***

two:
{"formula": "NiN2Cl", "functional": "PBE", "state": "relaxed", "vol_a3_per_atom": 9.99, "sg": "No. 225", "cell": [[0.0000, 2.7132, 2.7132], [2.7132, 0.0000, 2.7132], [2.7132, 2.7132, 0.0000]], "species": ["Ni", "N", "N", "Cl"], "frac_coords": [[0.5000, 0.5000, 0.5000], [0.2500, 0.2500, 0.2500], [0.7500, 0.7500, 0.7500], [0.0000, 0.0000, 0.0000]]}

***

So which one is most stable? That would be one, about 1.498 eV/atom below the next structure.

***

one:
{"formula": "Li2Ca3Ag4", "functional": "PBE", "state": "relaxed", "vol_a3_per_atom": 24.38, "sg": "No. 12", "cell": [[4.4691, 0.0000, 0.0000], [-2.2345, 5.4629, 0.0308], [0.0000, -1.3943, 8.9780]], "species": ["Li", "Li", "Ca", "Ca", "Ca", "Ag", "Ag", "Ag", "Ag"], "frac_coords": [[0.3188, 0.6376, 0.2160], [0.6812, 0.3624, 0.7840], [0.3763, 0.7525, 0.6159], [0.0000, 0.0000, 0.0000], [0.6237, 0.2475, 0.3841], [0.7220, 0.4440, 0.0870], [0.0871, 0.1742, 0.6358], [0.9129, 0.8258, 0.3642], [0.2780, 0.5560, 0.9130]]}

***

two:
{"formula": "Li2Ca3Ag4", "functional": "PBE", "state": "relaxed", "vol_a3_per_atom": 23.87, "sg": "No. 12", "cell": [[4.5411, 0.0000, 1.3414], [1.9212, 5.3429, 1.8535], [-0.1525, 0.2642, 8.8735]], "species": ["Li", "Li", "Ca", "Ca", "Ca", "Ag", "Ag", "Ag", "Ag"], "frac_coords": [[0.3256, 0.0057, 0.3431], [0.6744, 0.9943, 0.6569], [0.3608, 0.5827, 0.6956], [0.0000, 0.0000, 0.0000], [0.6392, 0.4173, 0.3044], [0.2775, 0.3760, 0.0689], [0.7225, 0.6240, 0.9311], [0.0813, 0.2432, 0.5942], [0.9187, 0.7568, 0.4058]]}

***

So which one is most stable? That would be one, about 0.013 eV/atom below the next structure.

***

one:
{"formula": "K2TeAs", "functional": "PBE", "state": "relaxed", "vol_a3_per_atom": 37.16, "sg": "No. 44", "cell": [[6.7566, -0.0095, -0.0140], [2.8898, 6.1074, 0.0140], [-4.6204, -3.3699, 3.5984]], "species": ["As", "K", "K", "Te"], "frac_coords": [[0.3196, 0.8196, 0.5000], [0.0014, 0.0014, 0.0000], [0.7396, 0.2396, 0.5000], [0.4393, 0.4393, 0.0000]]}

***

two:
{"formula": "K2TeAs", "functional": "PBE", "state": "relaxed", "vol_a3_per_atom": 33.02, "sg": "No. 225", "cell": [[-0.3200, -1.8807, 5.3889], [0.1007, 3.7226, 4.3372], [-4.7269, 0.9323, 3.0768]], "species": ["As", "Te", "K", "K"], "frac_coords": [[0.0000, 0.0000, 0.0000], [0.5000, 0.5000, 0.5000], [0.2500, 0.2500, 0.2500], [0.7500, 0.7500, 0.7500]]}

***

So which one is most stable? That would be one, about 0.258 eV/atom below the next structure.

***

one:
{"formula": "PmNd2Co", "functional": "PBE", "state": "relaxed", "vol_a3_per_atom": 30.16, "sg": "No. 160", "cell": [[3.8710, 0.0000, 0.0000], [1.9355, 3.3524, 0.0000], [1.9355, 1.1175, 9.2953]], "species": ["Pm", "Nd", "Nd", "Co"], "frac_coords": [[0.5008, 0.5008, 0.4977], [0.0568, 0.0568, 0.8297], [0.2762, 0.2762, 0.1713], [0.6663, 0.6663, 0.0012]]}

***

two:
{"formula": "PmNd2Co", "functional": "PBE", "state": "relaxed", "vol_a3_per_atom": 28.39, "sg": "No. 63", "cell": [[-0.5655, -0.7113, -3.6465], [-2.1617, -5.0196, 3.2535], [-8.9822, 4.2354, 0.5667]], "species": ["Pm", "Pm", "Nd", "Nd", "Nd", "Nd", "Co", "Co"], "frac_coords": [[0.4087, 0.8168, 0.2500], [0.5913, 0.1832, 0.7500], [0.1380, 0.2779, 0.4268], [0.8620, 0.7221, 0.5732], [0.8620, 0.7221, 0.9268], [0.1380, 0.2779, 0.0732], [0.7360, 0.4726, 0.2500], [0.2640, 0.5274, 0.7500]]}

***

So which one is most stable? That would be two, about 0.106 eV/atom below the next structure.